[1]
A geometry-optimized LaTb2PmTm5 structure. Source: Alexandria, functional PBE.

Output
As for the space group: No. 140.

Cell: 9.762 9.762 9.762 Å, 126.59 126.59 78.92°
Atoms (fractional coordinates):
La 0.250 0.250 0.000
La 0.750 0.750 0.000
Tb 0.115 0.615 0.731
Tb 0.385 0.115 0.500
Tb 0.615 0.885 0.500
Tb 0.885 0.385 0.269
Pm 0.250 0.750 0.500
Pm 0.750 0.250 0.500
Tm 0.000 0.000 0.000
Tm 0.073 0.163 0.500
Tm 0.163 0.663 0.090
Tm 0.337 0.427 0.500
Tm 0.427 0.927 0.090
Tm 0.500 0.500 0.000
Tm 0.573 0.073 0.910
Tm 0.663 0.573 0.500
Tm 0.837 0.337 0.910
Tm 0.927 0.837 0.500

=====

[2]
A geometry-optimized BaU2SnS8 structure. Source: Alexandria, functional PBE.

Output
The uncorrected formation energy is -1.07 eV/atom. As for the space group: No. 10.

Cell: 6.213 8.295 6.581 Å, 90.00 92.81 90.00°
Atoms (fractional coordinates):
Ba 0.000 0.000 0.000
U 0.500 0.255 0.500
U 0.500 0.745 0.500
Sn 0.000 0.500 0.000
S 0.276 0.500 0.632
S 0.283 0.000 0.612
S 0.285 0.275 0.174
S 0.285 0.725 0.174
S 0.715 0.275 0.826
S 0.715 0.725 0.826
S 0.717 0.000 0.388
S 0.724 0.500 0.368

=====

[3]
A geometry-optimized NaCrReOs2 structure. Source: Alexandria, functional PBE.

Output
As for the space group: No. 123.

Cell: 4.754 4.754 4.789 Å, 90.00 90.00 90.00°
Atoms (fractional coordinates):
Na 0.000 0.000 0.000
Cr 0.500 0.500 0.000
Re 0.500 0.500 0.500
Os 0.000 0.500 0.500
Os 0.500 0.000 0.500

=====

[4]
A geometry-optimized UNb3Ru6 structure. Source: Alexandria, functional PBE.

Output
As for the space group: No. 11.

Cell: 7.788 4.539 9.900 Å, 90.00 112.58 90.00°
Atoms (fractional coordinates):
U 0.114 0.250 0.032
U 0.886 0.750 0.968
Nb 0.064 0.750 0.713
Nb 0.310 0.750 0.535
Nb 0.345 0.250 0.843
Nb 0.655 0.750 0.157
Nb 0.690 0.250 0.465
Nb 0.936 0.250 0.287
Ru 0.099 0.750 0.238
Ru 0.119 0.250 0.576
Ru 0.292 0.750 0.996
Ru 0.302 0.250 0.371
Ru 0.469 0.250 0.166
Ru 0.480 0.750 0.333
Ru 0.520 0.250 0.667
Ru 0.531 0.750 0.834
Ru 0.698 0.750 0.629
Ru 0.708 0.250 0.004
Ru 0.881 0.750 0.424
Ru 0.901 0.250 0.762

=====

Q: Which size of the total moment values were calculated for the entries above? A: 0.00; 0.23; 2.83; 0.00, in Bohr magnetons per cell.
Q: Which electronic total energy values were calculated for the entries above? A: -77.77; -74.32; -37.77; -197.87, in eV for the cell shown.